Here is an optimized crystal structure of Al2In2Bi from Alexandria via LeMat-Bulk. Energies are from PBE.

For the formation energy, the calculation gives 218 meV per atom. Its space-group type is No. 139. The excess energy over the best structure of this formula in the dataset comes out at 0.25 eV/f.u. For the calculated density, the calculation gives 6.493 g cm⁻³.

Cell lengths 4.4669, 4.4669, 7.0598 Å; angles 71.56, 71.56, 90.00 degrees
Closest atoms and distances in Å follow each position.
Positions (direct):
Bi1 0.0000 0.0000 0.0000  8 Al 3.41
In1 0.2500 0.7500 0.5000  4 Al 2.92, 4 In 3.16
Al1 0.3991 0.3991 0.2017  1 Al 2.55
Al2 0.6009 0.6009 0.7983  1 Al 2.55
In2 0.7500 0.2500 0.5000  4 Al 2.92, 4 In 3.16